Entry from the Open Quantum Materials Database: crystalline BaHg at its relaxed geometry (PBE).

The value obtained for the energy is -3.025 eV per cell. As for the theoretical density: 7.03 g/cm3. The space group is No. 187. The calculated volume is 39.90 Å³/atom.

a b c (Å): 4.4177 4.4177 4.7220
angles (deg): 90.00 90.00 120.00
Closest atoms and distances in Å follow each position.
Fractional coordinates of all 2 atoms:
Ba 0.0000 0.0000 0.0000  6 Hg 3.48
Hg 0.6667 0.3333 0.5000  6 Ba 3.48